Crystalline BaP4Au at its relaxed geometry. Source: Alexandria via LeMat-Bulk, functional PBEsol.

Cell and atoms, written as CIF:
```
data_BaP4Au
_chemical_formula_sum 'Ba4 P16 Au4'
_space_group_name_H-M_alt 'F -4 3 m'
_space_group_IT_number 216
_space_group_name_Hall 'F -4 2 3'
_cell_length_a 7.9797
_cell_length_b 7.9797
_cell_length_c 7.9797
_cell_angle_alpha 90.00
_cell_angle_beta 90.00
_cell_angle_gamma 90.00
loop_
_atom_site_label
_atom_site_type_symbol
_atom_site_fract_x
_atom_site_fract_y
_atom_site_fract_z
Ba1 Ba 0.0000 0.0000 0.0000
P1 P 0.1004 0.1004 0.3996
Au1 Au 0.2500 0.2500 0.7500
```

- calculated formation energy (eV per atom) = -0.11
- density of states at the Fermi level (states/eV per atom) = 0.59
- E (Ry/atom) = -0.3664